# ScAlRu PBE relaxed
data_ScAlRu
_chemical_formula_sum 'Sc4 Al4 Ru4'
_symmetry_space_group_name_H-M 'A m m 2'
_symmetry_Int_Tables_number 38
_cell_length_a 3.304
_cell_length_b 4.457
_cell_length_c 13.249
_cell_angle_alpha 90.00
_cell_angle_beta 90.00
_cell_angle_gamma 90.00
loop_
_symmetry_equiv_pos_as_xyz
'x,y,z'
'-x,-y,z'
'-x,y,z'
'x,-y,z'
'x,y+1/2,z+1/2'
'-x,-y+1/2,z+1/2'
'-x,y+1/2,z+1/2'
'x,-y+1/2,z+1/2'
loop_
_atom_site_label
_atom_site_fract_x
_atom_site_fract_y
_atom_site_fract_z
Sc1 0.000 0.000 0.000
Sc2 0.000 0.000 0.320
Al1 0.000 0.000 0.646
Al2 0.500 0.000 0.814
Ru1 0.500 0.000 0.163
Ru2 0.500 0.000 0.492
# Raw total energy: -7.008 eV/atom
# ΔE_f: -0.56 eV/atom